# 1
Here is a relaxed structure of Nd6TlTe5 from the Alexandria database. Energies are from PBE.

The raw formation energy comes out at -1.275 eV/atom. Its electronic total energy is -123.96 eV for the cell shown.

abc: 7.8294 13.5059 7.8125
angles: 90.00 109.31 90.00
Closest atoms and distances in Å follow each position.
Space group C2/m (No. 12)
Unique sites:
Nd 0.2450 0.0000 0.2531 x4  1 Tl 3.14, 5 Te 3.19-3.24
Nd 0.2454 0.1640 0.7459 x8  1 Tl 3.14, 5 Te 3.19-3.22
Tl 0.0000 0.0000 0.5000 x2  6 Nd 3.14
Te 0.0000 0.1688 0.0000 x4  6 Nd 3.19-3.22
Te 0.0000 0.3339 0.5000 x4  6 Nd 3.19
Te 0.0000 0.5000 0.0000 x2  6 Nd 3.19-3.24

***

# 2
Here is a relaxed structure of Nd12Tl3Te5 from the Alexandria database. Energies are from PBE.

The raw formation energy comes out at -0.480 eV/atom. Its electronic total energy is -716.92 eV for the cell shown.

abc: 18.4542 18.4542 18.4542
angles: 90.00 90.00 90.00
Closest atoms and distances in Å follow each position.
Space group Ia-3d (No. 230)
Unique sites:
Nd 0.0139 0.0721 0.6527 x96  2 Te 3.03-3.13, 1 Tl 3.33
Tl 0.0000 0.2500 0.1250 x24  8 Nd 3.33-3.40
Te 0.0000 0.0000 0.0000 x16  6 Nd 3.13
Te 0.0000 0.2500 0.3750 x24  4 Nd 3.03

***

# 3
Here is a relaxed structure of Nd6Tl2Te from the Alexandria database. Energies are from PBE.

The raw formation energy comes out at -0.482 eV/atom. Its electronic total energy is -81.63 eV for the cell shown.

abc: 4.2286 15.3121 8.8414
angles: 90.00 90.00 90.00
Closest atoms and distances in Å follow each position.
Space group Amm2 (No. 38)
Unique sites:
Nd 0.0000 0.0000 0.0000 x2  2 Te 3.22, 2 Tl 3.24, 2 Nd 3.60
Nd 0.0000 0.1370 0.5879 x4  2 Te 3.22, 2 Tl 3.24, 2 Nd 3.60
Nd 0.5000 0.0000 0.3295 x2  4 Tl 3.44, 1 Te 3.50, 6 Nd 3.60-3.75
Nd 0.5000 0.1979 0.9232 x4  4 Tl 3.44, 1 Te 3.50, 6 Nd 3.60-3.76
Tl 0.0000 0.1668 0.2253 x4  9 Nd 3.24-3.44
Te 0.5000 0.0000 0.7256 x2  9 Nd 3.22-3.50

***

# 4
Here is a relaxed structure of Nd2TlTe from the Alexandria database. Energies are from PBE.

The raw formation energy comes out at -0.788 eV/atom. The value obtained for the energy above the lowest structure with this stoichiometry is 141 meV/atom. Its electronic total energy is -18.20 eV for the cell shown.

abc: 3.7759 3.7759 8.3544
angles: 90.00 90.00 90.00
Closest atoms and distances in Å follow each position.
Space group P4/mmm (No. 123)
Unique sites:
Nd 0.0000 0.0000 0.2391 x2  4 Te 3.33, 4 Tl 3.45
Tl 0.5000 0.5000 0.5000 x1  8 Nd 3.45, 4 Tl 3.78
Te 0.5000 0.5000 0.0000 x1  8 Nd 3.33

***

# 5
Here is a relaxed structure of Nd5TlTe4 from the Alexandria database. Energies are from PBE.

The raw formation energy comes out at -1.248 eV/atom. The value obtained for the energy above the lowest structure with this stoichiometry is 0 meV/atom. Its electronic total energy is -102.50 eV for the cell shown.

abc: 10.0989 10.0989 6.3677
angles: 90.00 90.00 90.00
Closest atoms and distances in Å follow each position.
Space group I4/m (No. 87)
Unique sites:
Nd 0.0000 0.0000 0.0000 x2  2 Tl 3.18, 4 Te 3.19
Nd 0.0984 0.2962 0.5000 x8  1 Tl 3.15, 5 Te 3.18-3.22
Tl 0.0000 0.0000 0.5000 x2  6 Nd 3.15-3.18
Te 0.0984 0.3005 0.0000 x8  6 Nd 3.18-3.22

***

# 6
Here is a relaxed structure of NdTlTe2 from the Alexandria database. Energies are from PBE.

The raw formation energy comes out at -0.921 eV/atom. Its electronic total energy is -17.10 eV for the cell shown.

abc: 3.9708 3.9708 8.2845
angles: 90.00 90.00 90.00
Closest atoms and distances in Å follow each position.
Space group P4/mmm (No. 123)
Unique sites:
Nd 0.0000 0.0000 0.0000 x1  8 Te 3.34
Tl 0.0000 0.0000 0.5000 x1  8 Te 3.65, 4 Tl 3.97
Te 0.5000 0.5000 0.2191 x2  4 Nd 3.34, 1 Te 3.63, 4 Tl 3.65